# 1
First-principles (GGA-PBE) data for SrTa3Cd after structural relaxation, as listed in the Alexandria database.

a = 4.917 Å, b = 4.917 Å, c = 4.917 Å
α = 90.00°, β = 90.00°, γ = 90.00°
Positions (direct):
Sr  0.000  0.000  0.000
Ta  0.000  0.000  0.500
Ta  0.000  0.500  0.000
Ta  0.500  0.000  0.000
Cd  0.500  0.500  0.500

Space group   Pm-3m
Distance to the lowest polymorph of the same formula   799.3 meV/atom
ΔH_f (0 K)   2.785 eV/atom

# 2
First-principles (GGA-PBE) data for AcDy9Th2 after structural relaxation, as listed in the Alexandria database.

a = 5.062 Å, b = 5.062 Å, c = 15.223 Å
α = 90.00°, β = 90.00°, γ = 90.00°
Positions (direct):
Ac  0.000  0.000  0.000
Dy  0.000  0.500  0.176
Dy  0.000  0.500  0.500
Dy  0.000  0.500  0.824
Dy  0.500  0.000  0.176
Dy  0.500  0.000  0.500
Dy  0.500  0.000  0.824
Dy  0.500  0.500  0.000
Dy  0.500  0.500  0.336
Dy  0.500  0.500  0.664
Th  0.000  0.000  0.336
Th  0.000  0.000  0.664

Space group   P4/mmm
ΔH_f (0 K)   0.041 eV/atom

| no. | ρ (g cm⁻³) |
| --- | --- |
| 1 | 10.376 |
| 2 | 9.168 |